# GGA-PBE BaHfTi3, relaxed
data_BaHfTi3
_cell_length_a 5.1494
_cell_length_b 5.1494
_cell_length_c 5.1494
_cell_angle_alpha 90.00
_cell_angle_beta 90.00
_cell_angle_gamma 90.00
_space_group_name_H-M_alt 'P 1'
_space_group_IT_number 1
loop_
_space_group_symop_operation_xyz
'x,y,z'
loop_
_atom_site_label
_atom_site_fract_x
_atom_site_fract_y
_atom_site_fract_z
_atom_site_occupancy
Ba1 0.5000 0.5000 0.5000 1
Hf1 0.0000 0.0000 0.0000 1
Ti1 0.0000 0.5000 0.0000 1
Ti2 0.5000 0.0000 0.0000 1
Ti3 0.0000 0.0000 0.5000 1
# space group	Pm-3m
# spin magnetization	1.25	Bohr magnetons per cell
# relative energy among the computed polymorphs	0.000	eV/atom
# E_form	0.984	eV/atom
# energy	-0.22522	Ha/atom